## P
# CeErC2, relaxed, DFT PBE
# - Calculated volume: 16.70 Å³ per atom
data_CeErC2
_symmetry_space_group_name_H-M 'R -3 m'
_symmetry_Int_Tables_number 166
_symmetry_space_group_name_Hall '-R 3 2"'
_cell_length_a 3.6275
_cell_length_b 3.6275
_cell_length_c 17.5799
_cell_angle_alpha 90.00
_cell_angle_beta 90.00
_cell_angle_gamma 120.00
loop_
_atom_site_label
_atom_site_type_symbol
_atom_site_fract_x
_atom_site_fract_y
_atom_site_fract_z
Ce1 Ce 0.0000 0.0000 0.0000
Er1 Er 0.0000 0.0000 0.5000
C1 C 0.0000 0.0000 0.2515

---

## Q
# CeErC2, relaxed, DFT PBE
# - Calculated volume: 16.53 Å³ per atom
data_CeErC2
_symmetry_space_group_name_H-M 'R 3 m'
_symmetry_Int_Tables_number 160
_symmetry_space_group_name_Hall 'R 3 -2"'
_cell_length_a 3.5865
_cell_length_b 3.5865
_cell_length_c 17.8062
_cell_angle_alpha 90.00
_cell_angle_beta 90.00
_cell_angle_gamma 120.00
loop_
_atom_site_label
_atom_site_type_symbol
_atom_site_fract_x
_atom_site_fract_y
_atom_site_fract_z
Ce1 Ce 0.0000 0.0000 0.0000
Er1 Er 0.0000 0.0000 0.1695
C1 C 0.0000 0.0000 0.4116
C2 C 0.0000 0.0000 0.5817

---

The energetic minimum among the shown structures is P; the next structure lies 126 meV per atom above.